Density functional theory data (GGA-PBE) for crystalline BeIr2N at its relaxed geometry.

a = 5.585 Å, b = 5.585 Å, c = 5.585 Å
α = 90.00°, β = 90.00°, γ = 90.00°
Space group Fm-3m (No. 225)
Symmetry-distinct sites (fractional):
Be: 0.000 0.000 0.000 x4
Ir: 0.250 0.250 0.250 x8
N: 0.000 0.000 0.500 x4

Results
E: -6.64 eV/atom

Density functional theory data (GGA-PBE) for crystalline Ag3SeF at its relaxed geometry.

a = 4.990 Å, b = 4.990 Å, c = 4.990 Å
α = 90.00°, β = 90.00°, γ = 90.00°
Space group Pm-3m (No. 221)
Symmetry-distinct sites (fractional):
Ag: 0.000 0.000 0.500 x3
Se: 0.000 0.000 0.000 x1
F: 0.500 0.500 0.500 x1

Results
E: -2.96 eV/atom

Density functional theory data (GGA-PBE) for crystalline Be6CoRh at its relaxed geometry.

a = 4.199 Å, b = 4.199 Å, c = 4.199 Å
α = 90.00°, β = 90.00°, γ = 90.00°
Space group Pm-3 (No. 200)
Symmetry-distinct sites (fractional):
Be: 0.000 0.255 0.500 x6
Co: 0.500 0.500 0.500 x1
Rh: 0.000 0.000 0.000 x1

Results
Formation energy: -135.0 meV/atom

Density functional theory data (GGA-PBE) for crystalline Ce5Ga2Tc at its relaxed geometry.

a = 8.165 Å, b = 9.294 Å, c = 5.968 Å
α = 90.00°, β = 120.60°, γ = 90.00°
Space group Cm (No. 8)
Symmetry-distinct sites (fractional):
Ce: 0.000 0.000 0.000 x2
Ce: 0.015 0.500 0.899 x2
Ce: 0.307 0.308 0.400 x4
Ce: 0.394 0.000 0.290 x2
Ga: 0.222 0.234 0.847 x4
Tc: 0.178 0.000 0.571 x2

Results
Formation energy: -252.5 meV/atom

Density functional theory data (GGA-PBE) for crystalline CaPm4Cu5 at its relaxed geometry.

a = 3.554 Å, b = 3.554 Å, c = 17.987 Å
α = 90.00°, β = 90.00°, γ = 90.00°
Space group P4/mmm (No. 123)
Symmetry-distinct sites (fractional):
Ca: 0.000 0.000 0.000 x1
Pm: 0.000 0.000 0.200 x2
Pm: 0.000 0.000 0.400 x2
Cu: 0.500 0.500 0.108 x2
Cu: 0.500 0.500 0.299 x2
Cu: 0.500 0.500 0.500 x1

Results
Formation energy: -147.5 meV/atom

Density functional theory data (GGA-PBE) for crystalline Er2MoRu3 at its relaxed geometry.

a = 5.5197 Å, b = 5.5197 Å, c = 8.2244 Å
α = 90.00°, β = 90.00°, γ = 120.00°
Space group P6_3/mmc (No. 194)
Symmetry-distinct sites (fractional):
Er: 0.3333 0.6667 0.0618 x4
Mo: 0.0000 0.0000 0.0000 x2
Ru: 0.1721 0.3442 0.7500 x6

Results
Formation energy: -323.9 meV/atom